[1]
Computed, not measured: crystalline LuPaInSn at its relaxed geometry at the GGA-PBE level of DFT.

Cell: 5.2852 5.2852 5.2852 Å, 60.00 60.00 60.00°
Closest atoms and distances in Å follow each position.
Fractional coordinates of all 4 atoms:
1 In 0.7500 0.7500 0.7500  4 Pa 3.24, 4 Lu 3.24
2 Sn 0.2500 0.2500 0.2500  4 Lu 3.24, 4 Pa 3.24
3 Pa 0.5000 0.5000 0.5000  4 In 3.24, 4 Sn 3.24
4 Lu 0.0000 0.0000 0.0000  4 Sn 3.24, 4 In 3.24

Its space group is No. 216. The energy of formation from the pure elements comes out at -0.157 eV/atom. The calculation puts the density at 10.17 g cm⁻³. As for the crystal system: cubic.

---

[2]
Computed, not measured: crystalline Sr2CrN3 at its relaxed geometry at the GGA-PBE level of DFT.

Cell: 6.1942 6.1942 12.3128 Å, 90.00 90.00 125.71°
Closest atoms and distances in Å follow each position.
Fractional coordinates of all 24 atoms:
1 N 0.8408 0.1592 0.9509  1 Cr 1.77
2 N 0.1592 0.8408 0.0491  1 Cr 1.77
3 N 0.4118 0.5881 0.1308  1 Cr 1.75
4 N 0.0248 0.4752 0.7500  2 Cr 1.80
5 N 0.9118 0.0882 0.3692  1 Cr 1.75
6 N 0.6592 0.3408 0.4509  1 Cr 1.77
7 N 0.3408 0.6592 0.5491  1 Cr 1.77
8 N 0.4752 0.0248 0.2500  2 Cr 1.80
9 N 0.0882 0.9118 0.6308  1 Cr 1.75
10 N 0.5881 0.4118 0.8692  1 Cr 1.75
11 N 0.5248 0.9752 0.7500  2 Cr 1.80
12 N 0.9752 0.5248 0.2500  2 Cr 1.80
13 Sr 0.9422 0.0578 0.1415  5 N 2.60-2.85
14 Sr 0.0578 0.9422 0.8585  5 N 2.60-2.85
15 Sr 0.1424 0.8576 0.4197  7 N 2.62-2.86
16 Sr 0.5578 0.4422 0.6415  5 N 2.60-2.85
17 Sr 0.4422 0.5578 0.3585  5 N 2.60-2.85
18 Sr 0.8576 0.1424 0.5803  7 N 2.62-2.86
19 Sr 0.6424 0.3576 0.0803  7 N 2.62-2.86
20 Sr 0.3576 0.6424 0.9197  7 N 2.62-2.86
21 Cr 0.2430 0.7570 0.6636  4 N 1.75-1.80
22 Cr 0.7570 0.2430 0.3364  4 N 1.75-1.80
23 Cr 0.7430 0.2570 0.8364  4 N 1.75-1.80
24 Cr 0.2570 0.7430 0.1636  4 N 1.75-1.80

Its space group is No. 64. The calculation puts the uncorrected formation energy at -905 meV per atom. The calculation puts the density at 4.66 g cm⁻³. As for the crystal system: orthorhombic.